Li2CaCd: PBEsol geometry, SCAN.

## Properties
size of the total moment	0.0	μB/cell
electronic total energy	-45.43	eV per formula unit
V	23.01	Å³/atom

Cell: 3.5842 3.5842 7.1632 Å, 90.00 90.00 90.00°
Closest atoms and distances in Å follow each position.
Space group P4/mmm (No. 123)
One atom of each set of equivalent atoms:
Li: 0.0000 0.0000 0.1939 (multiplicity 2)  1 Li 2.78, 4 Cd 2.89
Ca: 0.5000 0.5000 0.5000 (multiplicity 1)  8 Li 3.35, 2 Cd 3.58, 4 Ca 3.58
Cd: 0.5000 0.5000 0.0000 (multiplicity 1)  8 Li 2.89